VASP calculation (PBE) on crystalline NdYTm2 at its relaxed geometry.

For the final energy, the calculation gives -5.017 eV per atom. Its density of states at the Fermi level is 1.4395 states/eV/atom. The energy of formation is 0.03 eV/atom. As for the space group: R-3m (166).

Cell: 11.7397 11.7397 11.7397 Å, 17.46 17.46 17.46°
With the nearest neighbours (Å) after each atom.
Fractional coordinates of all 4 atoms:
Nd  0.0000  0.0000  0.0000  6 Nd 3.56, 6 Tm 3.57
Y  0.5000  0.5000  0.5000  6 Tm 3.52, 6 Y 3.56
Tm  0.2491  0.2491  0.2491  3 Y 3.52, 6 Tm 3.56, 3 Nd 3.57
Tm  0.7509  0.7509  0.7509  3 Y 3.52, 6 Tm 3.56, 3 Nd 3.57


VASP calculation (PBE) on crystalline Y3Er3Tm8 at its relaxed geometry.

For the final energy, the calculation gives -4.806 eV per atom. Its density of states at the Fermi level is 1.6074 states/eV/atom. The energy of formation is 0.11 eV/atom. As for the space group: Immm (71).

Cell: 9.5136 9.5136 9.5136 Å, 146.16 111.71 78.43°
With the nearest neighbours (Å) after each atom.
Fractional coordinates of all 14 atoms:
Y  0.0000  0.0000  0.0000  4 Er 3.54, 4 Y 3.84
Y  0.1809  0.6809  0.5000  2 Er 3.46, 8 Tm 3.55-3.69, 2 Y 3.84
Y  0.8191  0.3191  0.5000  2 Er 3.46, 8 Tm 3.55-3.69, 2 Y 3.84
Er  0.2061  0.5000  0.7061  1 Er 3.14, 2 Y 3.46, 4 Tm 3.48
Er  0.5000  0.5000  0.0000  2 Er 3.14
Er  0.7939  0.5000  0.2939  1 Er 3.14, 2 Y 3.46, 4 Tm 3.48
Tm  0.1195  0.2785  0.8410  6 Tm 3.24-3.49, 2 Y 3.55, 1 Er 3.57
Tm  0.2386  0.8961  0.3424  5 Tm 3.06-3.37
Tm  0.4375  0.2785  0.1590  6 Tm 3.24-3.49, 2 Y 3.55, 1 Er 3.57
Tm  0.4463  0.1039  0.3424  5 Tm 3.06-3.37
Tm  0.5537  0.8961  0.6576  5 Tm 3.06-3.37
Tm  0.5625  0.7215  0.8410  6 Tm 3.24-3.49, 2 Y 3.55, 1 Er 3.57
Tm  0.7614  0.1039  0.6576  5 Tm 3.06-3.37
Tm  0.8805  0.7215  0.1590  6 Tm 3.24-3.49, 2 Y 3.55, 1 Er 3.57


> density of states at the Fermi level of number 1 (NdYTm2)?

1.4395 states/eV/atom